No. 1
# Pm2Sm2Sc5

Crystalline Pm2Sm2Sc5 at its relaxed geometry (GGA-PBE, Alexandria via LeMat-Bulk).

Summary:
DFT formation energy	1.813	eV per formula unit
crystal system	orthorhombic
VASP energy	-48.785	eV per formula unit

a = 8.459 Å, b = 10.527 Å, c = 8.939 Å
α = 126.07°, β = 118.24°, γ = 90.00°
Positions (direct):
Pm (0.223, 0.583, 0.206)
Pm (0.777, 0.377, 0.794)
Pm (0.483, 0.083, 0.206)
Pm (0.517, 0.877, 0.794)
Sm (0.000, 0.048, 0.000)
Sm (0.500, 0.548, 0.000)
Sm (0.357, 0.418, 0.500)
Sm (0.643, 0.918, 0.500)
Sc (0.202, 0.680, 0.802)
Sc (0.798, 0.878, 0.198)
Sc (0.101, 0.180, 0.802)
Sc (0.899, 0.378, 0.198)
Sc (0.187, 0.914, 0.252)
Sc (0.813, 0.662, 0.748)
Sc (0.565, 0.414, 0.252)
Sc (0.435, 0.162, 0.748)
Sc (0.004, 0.775, 0.500)
Sc (0.996, 0.275, 0.500)

***

No. 2
# LaThPtAu

Crystalline LaThPtAu at its relaxed geometry (GGA-PBE, Alexandria via LeMat-Bulk).

Summary:
distance to the lowest polymorph of the same formula	150.5	meV per atom
DFT formation energy	-3.292	eV per formula unit
crystal system	cubic
VASP energy	-24.957	eV per formula unit

a = 5.221 Å, b = 5.221 Å, c = 5.221 Å
α = 60.00°, β = 60.00°, γ = 60.00°
Positions (direct):
Au (0.250, 0.250, 0.250)
Pt (0.750, 0.750, 0.750)
Th (0.500, 0.500, 0.500)
La (0.000, 0.000, 0.000)

***

No. 3
# Nb4ReW5

Crystalline Nb4ReW5 at its relaxed geometry (GGA-PBE, Alexandria via LeMat-Bulk).

Summary:
DFT formation energy	-0.510	eV per formula unit
crystal system	tetragonal
VASP energy	-118.002	eV per formula unit

a = 3.221 Å, b = 3.221 Å, c = 16.166 Å
α = 90.00°, β = 90.00°, γ = 90.00°
Positions (direct):
Nb (0.000, 0.000, 0.198)
Nb (0.000, 0.000, 0.399)
Nb (0.000, 0.000, 0.601)
Nb (0.000, 0.000, 0.802)
Re (0.000, 0.000, 0.000)
W (0.500, 0.500, 0.096)
W (0.500, 0.500, 0.297)
W (0.500, 0.500, 0.500)
W (0.500, 0.500, 0.703)
W (0.500, 0.500, 0.904)

***

No. 4
# ScGa3Au

Crystalline ScGa3Au at its relaxed geometry (GGA-PBE, Alexandria via LeMat-Bulk).

Summary:
distance to the lowest polymorph of the same formula	600.1	meV per atom
DFT formation energy	1.142	eV per formula unit
crystal system	cubic
VASP energy	-17.548	eV per formula unit

a = 4.927 Å, b = 4.927 Å, c = 4.927 Å
α = 90.00°, β = 90.00°, γ = 90.00°
Positions (direct):
Sc (0.500, 0.500, 0.500)
Au (0.000, 0.000, 0.000)
Ga (0.000, 0.500, 0.000)
Ga (0.000, 0.000, 0.500)
Ga (0.500, 0.000, 0.000)

***

No. 5
# Tb2GaBr3

Crystalline Tb2GaBr3 at its relaxed geometry (GGA-PBE, Alexandria via LeMat-Bulk).

Summary:
crystal system	monoclinic
VASP energy	-24.908	eV per formula unit
formation energy from raw total energies	-1267	meV/atom

a = 4.084 Å, b = 9.905 Å, c = 10.209 Å
α = 81.11°, β = 78.46°, γ = 78.10°
Positions (direct):
Tb (0.873, 0.435, 0.818)
Tb (0.127, 0.565, 0.182)
Tb (0.616, 0.216, 0.553)
Tb (0.384, 0.784, 0.447)
Ga (0.434, 0.513, 0.618)
Ga (0.566, 0.487, 0.382)
Br (0.044, 0.149, 0.763)
Br (0.956, 0.851, 0.237)
Br (0.676, 0.670, 0.977)
Br (0.324, 0.330, 0.023)
Br (0.751, 0.880, 0.617)
Br (0.249, 0.120, 0.383)

***

No. 6
# Sm2PuSn

Crystalline Sm2PuSn at its relaxed geometry (GGA-PBE, Alexandria via LeMat-Bulk).

Summary:
distance to the lowest polymorph of the same formula	0.0	meV per atom
DFT formation energy	-1.316	eV per formula unit
crystal system	tetragonal
VASP energy	-29.089	eV per formula unit

a = 4.655 Å, b = 4.937 Å, c = 4.937 Å
α = 90.00°, β = 90.00°, γ = 90.00°
Positions (direct):
Sn (0.500, 0.000, 0.000)
Sm (0.000, 0.000, 0.500)
Sm (0.000, 0.500, 0.000)
Pu (0.500, 0.500, 0.500)